[1]
A relaxed structure of TlTcSe2. Source: Alexandria via LeMat-Bulk, functional PBE.

Cell lengths 6.792, 6.792, 6.792 Å; angles 90.00, 90.00, 90.00 degrees
Space group Fm-3m (No. 225)
Inequivalent atoms, fractional coordinates:
Tl 0.000 0.000 0.000 [4 per cell]
Tc 0.000 0.000 0.500 [4 per cell]
Se 0.250 0.250 0.250 [8 per cell]

Computed properties:
VASP energy ... -71.75 eV/cell
Energy above the most stable polymorph in this dataset ... 772 meV per atom

***

[2]
A relaxed structure of TlTcSe. Source: Alexandria via LeMat-Bulk, functional PBE.

Cell lengths 4.3683, 4.3683, 3.7441 Å; angles 90.00, 90.00, 120.00 degrees
Space group P-6m2 (No. 187)
Inequivalent atoms, fractional coordinates:
Tl 0.0000 0.0000 0.0000 [1 per cell]
Tc 0.3333 0.6667 0.5000 [1 per cell]
Se 0.6667 0.3333 0.5000 [1 per cell]

Computed properties:
VASP energy ... -14.76 eV/cell
Energy above the most stable polymorph in this dataset ... 398 meV per atom

***

[3]
A relaxed structure of TlTcSe2. Source: Alexandria via LeMat-Bulk, functional PBE.

Cell lengths 3.883, 3.883, 13.845 Å; angles 90.00, 90.00, 90.00 degrees
Space group I-4m2 (No. 119)
Inequivalent atoms, fractional coordinates:
Tl 0.000 0.000 0.000 [2 per cell]
Tc 0.000 0.500 0.250 [2 per cell]
Se 0.000 0.000 0.500 [2 per cell]
Se 0.000 0.500 0.750 [2 per cell]

Computed properties:
VASP energy ... -34.86 eV/cell
Energy above the most stable polymorph in this dataset ... 899 meV per atom

***

[4]
A relaxed structure of TlTcSe2. Source: Alexandria via LeMat-Bulk, functional PBE.

Cell lengths 5.963, 3.510, 9.145 Å; angles 90.00, 97.52, 90.00 degrees
Space group Pm (No. 6)
Inequivalent atoms, fractional coordinates:
Tl 0.000 0.000 0.000 [1 per cell]
Tl 0.483 0.500 0.914 [1 per cell]
Tc 0.548 0.500 0.452 [1 per cell]
Tc 0.937 0.000 0.462 [1 per cell]
Se 0.132 0.500 0.314 [1 per cell]
Se 0.353 0.000 0.600 [1 per cell]
Se 0.618 0.000 0.266 [1 per cell]
Se 0.867 0.500 0.648 [1 per cell]

Computed properties:
VASP energy ... -42.02 eV/cell
Energy above the most stable polymorph in this dataset ... 4 meV per atom

***

[5]
A relaxed structure of TlTcSe2. Source: Alexandria via LeMat-Bulk, functional PBE.

Cell lengths 3.138, 28.556, 4.165 Å; angles 90.00, 90.00, 90.00 degrees
Space group Cmcm (No. 63)
Inequivalent atoms, fractional coordinates:
Tl 0.000 0.050 0.250 [4 per cell]
Tc 0.000 0.307 0.250 [4 per cell]
Se 0.000 0.125 0.750 [4 per cell]
Se 0.000 0.216 0.250 [4 per cell]

Computed properties:
VASP energy ... -80.30 eV/cell
Energy above the most stable polymorph in this dataset ... 237 meV per atom

***

[6]
A relaxed structure of TlTcSe2. Source: Alexandria via LeMat-Bulk, functional PBE.

Cell lengths 4.531, 8.023, 8.235 Å; angles 66.37, 89.05, 85.06 degrees
Space group P1 (No. 1)
Inequivalent atoms, fractional coordinates:
Tl 0.000 0.000 0.000 [1 per cell]
Tl 0.018 0.864 0.514 [1 per cell]
Tc 0.338 0.285 0.540 [1 per cell]
Tc 0.725 0.451 0.443 [1 per cell]
Se 0.015 0.422 0.698 [1 per cell]
Se 0.047 0.311 0.288 [1 per cell]
Se 0.507 0.981 0.735 [1 per cell]
Se 0.536 0.758 0.284 [1 per cell]

Computed properties:
VASP energy ... -41.53 eV/cell
Energy above the most stable polymorph in this dataset ... 65 meV per atom

***

[7]
A relaxed structure of TlTcSe4. Source: Alexandria via LeMat-Bulk, functional PBE.

Cell lengths 8.469, 12.820, 6.186 Å; angles 90.00, 110.11, 90.00 degrees
Space group C2/c (No. 15)
Inequivalent atoms, fractional coordinates:
Tl 0.000 0.129 0.250 [4 per cell]
Tc 0.000 0.499 0.250 [4 per cell]
Se 0.093 0.350 0.546 [8 per cell]
Se 0.236 0.429 0.110 [8 per cell]

Computed properties:
VASP energy ... -109.14 eV/cell
Energy above the most stable polymorph in this dataset ... 0 meV per atom

***

[8]
A relaxed structure of TlTcSe2. Source: Alexandria via LeMat-Bulk, functional PBE.

Cell lengths 3.3417, 3.3417, 27.7640 Å; angles 90.00, 90.00, 120.00 degrees
Space group R-3m (No. 166, hexagonal axes)
Inequivalent atoms, fractional coordinates:
Tl 0.0000 0.0000 0.0000 [3 per cell]
Tc 0.0000 0.0000 0.5000 [3 per cell]
Se 0.0000 0.0000 0.2272 [6 per cell]

Computed properties:
VASP energy ... -60.89 eV/cell
Energy above the most stable polymorph in this dataset ... 182 meV per atom

***

[9]
A relaxed structure of TlTcSe2. Source: Alexandria via LeMat-Bulk, functional PBE.

Cell lengths 4.029, 4.029, 5.689 Å; angles 90.00, 90.00, 90.00 degrees
Space group P4/mmm (No. 123)
Inequivalent atoms, fractional coordinates:
Tl 0.000 0.000 0.000 [1 per cell]
Tc 0.500 0.500 0.500 [1 per cell]
Se 0.000 0.000 0.500 [1 per cell]
Se 0.500 0.500 0.000 [1 per cell]

Computed properties:
VASP energy ... -18.36 eV/cell
Energy above the most stable polymorph in this dataset ... 667 meV per atom

***

[10]
A relaxed structure of TlTcSe2. Source: Alexandria via LeMat-Bulk, functional PBE.

Cell lengths 11.034, 3.195, 6.022 Å; angles 90.00, 116.53, 90.00 degrees
Space group Cm (No. 8)
Inequivalent atoms, fractional coordinates:
Tl 0.000 0.000 0.000 [2 per cell]
Tc 0.274 0.000 0.015 [2 per cell]
Se 0.140 0.500 0.683 [2 per cell]
Se 0.311 0.500 0.353 [2 per cell]

Computed properties:
VASP energy ... -39.45 eV/cell
Energy above the most stable polymorph in this dataset ... 325 meV per atom

***

[11]
A relaxed structure of TlTcSe2. Source: Alexandria via LeMat-Bulk, functional PBE.

Cell lengths 4.486, 6.764, 8.692 Å; angles 101.59, 104.55, 108.03 degrees
Space group P-1 (No. 2)
Inequivalent atoms, fractional coordinates:
Tl 0.003 0.332 0.149 [2 per cell]
Tc 0.265 0.051 0.580 [2 per cell]
Se 0.319 0.219 0.858 [2 per cell]
Se 0.389 0.727 0.541 [2 per cell]

Computed properties:
VASP energy ... -41.48 eV/cell
Energy above the most stable polymorph in this dataset ... 71 meV per atom

***

[12]
A relaxed structure of TlTcSe2. Source: Alexandria via LeMat-Bulk, functional PBE.

Cell lengths 3.112, 5.940, 10.587 Å; angles 90.00, 90.00, 90.00 degrees
Space group Immm (No. 71)
Inequivalent atoms, fractional coordinates:
Tl 0.000 0.000 0.000 [2 per cell]
Tc 0.000 0.000 0.500 [2 per cell]
Se 0.000 0.500 0.182 [4 per cell]

Computed properties:
VASP energy ... -38.61 eV/cell
Energy above the most stable polymorph in this dataset ... 431 meV per atom

***

[13]
A relaxed structure of TlTcSe2. Source: Alexandria via LeMat-Bulk, functional PBE.

Cell lengths 3.4379, 3.4379, 29.1799 Å; angles 90.00, 90.00, 120.00 degrees
Space group R-3m (No. 166, hexagonal axes)
Inequivalent atoms, fractional coordinates:
Tl 0.0000 0.0000 0.0000 [3 per cell]
Tc 0.0000 0.0000 0.5000 [3 per cell]
Se 0.0000 0.0000 0.1120 [6 per cell]

Computed properties:
VASP energy ... -61.00 eV/cell
Energy above the most stable polymorph in this dataset ... 173 meV per atom

***

[14]
A relaxed structure of TlTcSe2. Source: Alexandria via LeMat-Bulk, functional PBE.

Cell lengths 7.351, 7.351, 8.298 Å; angles 90.00, 90.00, 90.00 degrees
Space group I-42d (No. 122)
Inequivalent atoms, fractional coordinates:
Tl 0.000 0.000 0.000 [4 per cell]
Tc 0.000 0.000 0.500 [4 per cell]
Se 0.151 0.750 0.625 [8 per cell]

Computed properties:
VASP energy ... -80.10 eV/cell
Energy above the most stable polymorph in this dataset ... 250 meV per atom

***

[15]
A relaxed structure of Tl3TcSe. Source: Alexandria via LeMat-Bulk, functional PBE.

Cell lengths 5.360, 5.360, 5.360 Å; angles 90.00, 90.00, 90.00 degrees
Space group Pm-3m (No. 221)
Inequivalent atoms, fractional coordinates:
Tl 0.000 0.000 0.500 [3 per cell]
Tc 0.000 0.000 0.000 [1 per cell]
Se 0.500 0.500 0.500 [1 per cell]

Computed properties:
VASP energy ... -18.28 eV/cell
Energy above the most stable polymorph in this dataset ... 0 meV per atom

***

[16]
A relaxed structure of TlTcSe2. Source: Alexandria via LeMat-Bulk, functional PBE.

Cell lengths 5.929, 3.499, 9.626 Å; angles 90.00, 98.19, 90.00 degrees
Space group Pm (No. 6)
Inequivalent atoms, fractional coordinates:
Tl 0.000 0.000 0.000 [1 per cell]
Tl 0.482 0.500 0.928 [1 per cell]
Tc 0.548 0.000 0.459 [1 per cell]
Tc 0.938 0.500 0.468 [1 per cell]
Se 0.129 0.000 0.328 [1 per cell]
Se 0.357 0.500 0.599 [1 per cell]
Se 0.616 0.500 0.281 [1 per cell]
Se 0.869 0.000 0.647 [1 per cell]

Computed properties:
VASP energy ... -42.05 eV/cell
Energy above the most stable polymorph in this dataset ... 0 meV per atom

***

[17]
A relaxed structure of TlTcSe2. Source: Alexandria via LeMat-Bulk, functional PBE.

Cell lengths 3.304, 6.421, 9.615 Å; angles 92.12, 90.04, 90.16 degrees
Space group P-1 (No. 2)
Inequivalent atoms, fractional coordinates:
Tl 0.248 0.260 0.108 [2 per cell]
Tc 0.251 0.016 0.625 [2 per cell]
Se 0.249 0.810 0.213 [2 per cell]
Se 0.252 0.265 0.440 [2 per cell]

Computed properties:
VASP energy ... -41.57 eV/cell
Energy above the most stable polymorph in this dataset ... 60 meV per atom

***

[18]
A relaxed structure of TlTcSe2. Source: Alexandria via LeMat-Bulk, functional PBE.

Cell lengths 4.024, 4.050, 13.885 Å; angles 90.00, 90.00, 90.00 degrees
Space group Amm2 (No. 38)
Inequivalent atoms, fractional coordinates:
Tl 0.000 0.000 0.000 [2 per cell]
Tc 0.500 0.000 0.787 [2 per cell]
Se 0.000 0.000 0.697 [2 per cell]
Se 0.500 0.000 0.383 [2 per cell]

Computed properties:
VASP energy ... -39.92 eV/cell
Energy above the most stable polymorph in this dataset ... 266 meV per atom

***

[19]
A relaxed structure of TlTcSe2. Source: Alexandria via LeMat-Bulk, functional PBE.

Cell lengths 5.910, 7.843, 3.435 Å; angles 90.00, 90.00, 90.00 degrees
Space group Cmmm (No. 65)
Inequivalent atoms, fractional coordinates:
Tl 0.000 0.000 0.000 [2 per cell]
Tc 0.000 0.500 0.000 [2 per cell]
Se 0.250 0.250 0.500 [4 per cell]

Computed properties:
VASP energy ... -34.60 eV/cell
Energy above the most stable polymorph in this dataset ... 931 meV per atom

***

[20]
A relaxed structure of TlTcSe2. Source: Alexandria via LeMat-Bulk, functional PBE.

Cell lengths 3.157, 3.182, 18.265 Å; angles 90.00, 90.00, 90.00 degrees
Space group Imm2 (No. 44)
Inequivalent atoms, fractional coordinates:
Tl 0.000 0.000 0.000 [2 per cell]
Tc 0.000 0.500 0.257 [2 per cell]
Se 0.000 0.000 0.653 [2 per cell]
Se 0.000 0.500 0.828 [2 per cell]

Computed properties:
VASP energy ... -40.38 eV/cell
Energy above the most stable polymorph in this dataset ... 209 meV per atom

***

ΔE_f (raw) in eV per atom, matching the order above: 0.441, 0.485, 0.568, -0.327, -0.094, -0.266, -0.103, -0.149, 0.336, -0.006, -0.260, 0.100, -0.158, -0.081, 0.534, -0.331, -0.271, -0.065, 0.600, -0.122
Magnetization in μB/f.u., matching the order above: 0.00, 0.51, 3.90, 0.49, 0.00, 0.00, 0.00, 0.41, 2.99, 0.00, 0.00, 1.42, 1.43, 0.00, 2.01, 0.51, 0.00, 0.00, 0.00, 0.00